Entry 1:
A relaxed NpGaPt2 crystal, computed with PBE-GGA.

Values from the calculation:
* ρ: 16.130 Mg/m³

```
NpGaPt2
1.0
-1.222 -0.424 6.137
3.982 -1.956 0.658
2.110 4.572 0.820
Np Ga Pt
2 2 4
Direct
0.902 0.250 0.905
0.098 0.750 0.095
0.398 0.750 0.613
0.602 0.250 0.387
0.173 0.250 0.415
0.827 0.750 0.585
0.398 0.250 0.882
0.602 0.750 0.118
```

Entry 2:
A relaxed NpGa3Pt5 crystal, computed with PBE-GGA.

Values from the calculation:
* ρ: 13.884 Mg/m³

```
NpGa3Pt5
1.0
4.080 0.000 0.000
-2.040 6.299 0.000
0.000 0.000 13.228
Np Ga Pt
2 6 10
Direct
0.761 0.522 0.750
0.239 0.478 0.250
0.366 0.732 0.970
0.970 0.939 0.250
0.366 0.732 0.530
0.634 0.268 0.470
0.030 0.061 0.750
0.634 0.268 0.030
0.807 0.614 0.390
0.193 0.386 0.890
0.000 0.000 0.500
0.000 0.000 0.000
0.467 0.933 0.142
0.533 0.067 0.858
0.533 0.067 0.642
0.807 0.614 0.110
0.193 0.386 0.610
0.467 0.933 0.358
```

Entry 3:
A relaxed NpGa5Pt7 crystal, computed with PBE-GGA.

Values from the calculation:
* ρ: 15.061 Mg/m³

```
NpGa5Pt7
1.0
5.446 0.000 0.000
2.723 6.287 -0.145
2.723 -0.165 6.287
Np Ga Pt
1 5 7
Direct
0.993 0.007 0.007
0.500 0.003 0.486
0.010 0.003 0.486
0.500 0.486 0.003
0.010 0.486 0.003
0.725 0.775 0.775
0.661 0.339 0.339
0.317 0.683 0.683
0.989 0.347 0.676
0.989 0.676 0.347
0.273 0.227 0.227
0.516 0.777 0.190
0.516 0.190 0.777
```

Entry 4:
A relaxed NpGa2Pt7 crystal, computed with PBE-GGA.

Values from the calculation:
* ρ: 14.207 Mg/m³

```
NpGa2Pt7
1.0
-0.536 -4.260 0.974
6.978 -1.268 -1.706
-1.773 1.789 6.846
Np Ga Pt
1 2 7
Direct
0.000 0.000 0.000
0.500 0.698 0.302
0.500 0.302 0.698
0.000 0.789 0.211
0.000 0.211 0.789
0.500 0.076 0.297
0.500 0.924 0.703
0.500 0.297 0.076
0.500 0.703 0.924
0.500 0.500 0.500
```

Entry 5:
A relaxed Np3Ga2Pt4 crystal, computed with PBE-GGA.

Values from the calculation:
* ρ: 15.828 Mg/m³

```
Np3Ga2Pt4
1.0
5.517 0.609 -0.986
3.251 4.608 0.090
-2.080 -0.454 7.636
Np Ga Pt
3 2 4
Direct
0.584 0.899 0.685
0.000 0.000 0.000
0.416 0.101 0.315
0.683 0.407 0.276
0.317 0.593 0.724
0.729 0.669 0.060
0.271 0.331 0.940
0.835 0.213 0.622
0.165 0.787 0.378
```

Entry 6:
A relaxed NpGa2Pt2 crystal, computed with PBE-GGA.

Values from the calculation:
* relative energy among the computed polymorphs: 0.00 eV/f.u.
* ρ: 13.537 Mg/m³

```
NpGa2Pt2
1.0
-0.620 4.064 0.050
-0.069 0.040 -4.111
-10.997 -1.680 0.169
Np Ga Pt
2 4 4
Direct
0.500 0.000 0.248
0.000 0.500 0.752
0.000 0.500 0.366
0.500 0.000 0.634
0.500 0.500 0.000
0.000 0.000 0.000
0.500 0.500 0.500
0.000 0.000 0.500
0.000 0.500 0.143
0.500 0.000 0.857
```

| no. | DFT formation energy (meV per atom) | Fermi-level density of states (states/eV per cell) |
| --- | --- | --- |
| 1 | -484 | 10.80 |
| 2 | -505 | 23.55 |
| 3 | -513 | 14.44 |
| 4 | -205 | 11.62 |
| 5 | -556 | 17.04 |
| 6 | -597 | 23.12 |